(1)
The following is a PBE calculation of a relaxed structure of ScAsPbO5, from Alexandria via LeMat-Bulk.

Results
symmetry: No. 15
mass density: 5.77 Mg/m³
final energy: -6.934 eV per atom
total moment: 0.00 μB per formula unit

Unit cell a=5.968 b=5.968 c=7.508 alpha=104.09 beta=104.09 gamma=106.54
Element x y z (fractional)
Sc  0.000  0.000  0.000
Sc  0.000  0.000  0.500
As  0.319  0.681  0.750
As  0.681  0.319  0.250
Pb  0.310  0.690  0.250
Pb  0.690  0.310  0.750
O  0.075  0.925  0.250
O  0.114  0.687  0.880
O  0.236  0.392  0.583
O  0.313  0.886  0.620
O  0.392  0.236  0.083
O  0.608  0.764  0.917
O  0.687  0.114  0.380
O  0.764  0.608  0.417
O  0.886  0.313  0.120
O  0.925  0.075  0.750

(2)
The following is a PBE calculation of a relaxed structure of Sc3As4PbO12, from Alexandria via LeMat-Bulk.

Results
symmetry: No. 155
mass density: 4.85 Mg/m³
final energy: -6.802 eV per atom
total moment: 0.00 μB per formula unit

Unit cell a=6.907 b=6.907 c=6.907 alpha=105.38 beta=105.38 gamma=105.38
Element x y z (fractional)
Sc  0.000  0.576  0.424
Sc  0.424  0.000  0.576
Sc  0.576  0.424  0.000
As  0.094  0.500  0.906
As  0.500  0.500  0.500
As  0.500  0.906  0.094
As  0.906  0.094  0.500
Pb  0.000  0.000  0.000
O  0.019  0.265  0.363
O  0.067  0.933  0.500
O  0.265  0.363  0.019
O  0.323  0.677  0.500
O  0.363  0.019  0.265
O  0.500  0.067  0.933
O  0.500  0.323  0.677
O  0.637  0.735  0.981
O  0.677  0.500  0.323
O  0.735  0.981  0.637
O  0.933  0.500  0.067
O  0.981  0.637  0.735

(3)
The following is a PBE calculation of a relaxed structure of AsPb2SeO, from Alexandria via LeMat-Bulk.

Results
symmetry: No. 123
mass density: 8.45 Mg/m³
final energy: -4.195 eV per atom
total moment: 0.00 μB per formula unit

Unit cell a=5.163 b=5.163 c=4.310 alpha=90.00 beta=90.00 gamma=90.00
Element x y z (fractional)
As  0.000  0.000  0.000
Pb  0.000  0.500  0.500
Pb  0.500  0.000  0.500
Se  0.500  0.500  0.000
O  0.500  0.500  0.500

(4)
The following is a PBE calculation of a relaxed structure of AsPbSe2O, from Alexandria via LeMat-Bulk.

Results
symmetry: No. 123
mass density: 6.21 Mg/m³
distance to the lowest polymorph of the same formula: 0 meV per atom
total moment: 0.41 μB per formula unit

Unit cell a=5.396 b=5.396 c=4.190 alpha=90.00 beta=90.00 gamma=90.00
Element x y z (fractional)
As  0.000  0.000  0.000
Pb  0.500  0.500  0.000
Se  0.000  0.500  0.500
Se  0.500  0.000  0.500
O  0.000  0.000  0.500

(5)
The following is a PBE calculation of a relaxed structure of AsPbSe2O, from Alexandria via LeMat-Bulk.

Results
symmetry: No. 123
mass density: 4.43 Mg/m³
distance to the lowest polymorph of the same formula: 1021 meV per atom
total moment: 4.10 μB per formula unit

Unit cell a=5.536 b=5.536 c=5.574 alpha=90.00 beta=90.00 gamma=90.00
Element x y z (fractional)
As  0.000  0.000  0.000
Pb  0.000  0.000  0.500
Se  0.000  0.500  0.500
Se  0.500  0.000  0.500
O  0.500  0.500  0.000

(6)
The following is a PBE calculation of a relaxed structure of As2PbSeO8, from Alexandria via LeMat-Bulk.

Results
symmetry: No. 155
mass density: 5.48 Mg/m³
final energy: -5.552 eV per atom
total moment: 0.00 μB per formula unit

Unit cell a=8.564 b=8.564 c=8.564 alpha=33.54 beta=33.54 gamma=33.54
Element x y z (fractional)
As  0.244  0.244  0.244
As  0.756  0.756  0.756
Pb  0.000  0.000  0.000
Se  0.500  0.500  0.500
O  0.122  0.452  0.757
O  0.243  0.548  0.878
O  0.314  0.314  0.314
O  0.452  0.757  0.122
O  0.548  0.878  0.243
O  0.686  0.686  0.686
O  0.757  0.122  0.452
O  0.878  0.243  0.548

(7)
The following is a PBE calculation of a relaxed structure of Sm3AsPbO, from Alexandria via LeMat-Bulk.

Results
symmetry: No. 11
mass density: 7.35 Mg/m³
final energy: -6.205 eV per atom
total moment: 0.00 μB per formula unit

Unit cell a=9.091 b=4.145 c=9.194 alpha=90.00 beta=102.34 gamma=90.00
Element x y z (fractional)
Sm  0.076  0.250  0.339
Sm  0.338  0.250  0.983
Sm  0.385  0.750  0.652
Sm  0.615  0.250  0.348
Sm  0.662  0.750  0.017
Sm  0.924  0.750  0.661
As  0.153  0.250  0.664
As  0.847  0.750  0.336
Pb  0.323  0.750  0.277
Pb  0.677  0.250  0.723
O  0.412  0.750  0.908
O  0.588  0.250  0.092

(8)
The following is a PBE calculation of a relaxed structure of SmAsPbO5, from Alexandria via LeMat-Bulk.

Results
symmetry: No. 15
mass density: 6.27 Mg/m³
final energy: -6.707 eV per atom
total moment: 0.00 μB per formula unit

Unit cell a=6.228 b=6.228 c=8.029 alpha=103.46 beta=103.46 gamma=108.33
Element x y z (fractional)
Sm  0.000  0.000  0.000
Sm  0.000  0.000  0.500
As  0.317  0.683  0.750
As  0.683  0.317  0.250
Pb  0.312  0.688  0.250
Pb  0.688  0.312  0.750
O  0.097  0.903  0.250
O  0.106  0.676  0.861
O  0.242  0.413  0.589
O  0.324  0.894  0.639
O  0.413  0.242  0.089
O  0.587  0.758  0.911
O  0.676  0.106  0.361
O  0.758  0.587  0.411
O  0.894  0.324  0.139
O  0.903  0.097  0.750

(9)
The following is a PBE calculation of a relaxed structure of SrAsPbO4, from Alexandria via LeMat-Bulk.

Results
symmetry: No. 74
mass density: 6.22 Mg/m³
final energy: -5.901 eV per atom
total moment: 0.00 μB per formula unit

Unit cell a=6.886 b=6.886 c=6.886 alpha=123.81 beta=114.72 gamma=91.45
Element x y z (fractional)
Sr  0.000  0.000  0.000
Sr  0.500  0.000  0.500
As  0.378  0.628  0.750
As  0.622  0.372  0.250
Pb  0.000  0.000  0.500
Pb  0.000  0.500  0.000
O  0.268  0.300  0.532
O  0.268  0.736  0.968
O  0.283  0.729  0.554
O  0.326  0.271  0.054
O  0.674  0.729  0.946
O  0.717  0.271  0.446
O  0.732  0.264  0.032
O  0.732  0.700  0.468

(10)
The following is a PBE calculation of a relaxed structure of SrAsPbO6, from Alexandria via LeMat-Bulk.

Results
symmetry: No. 149
mass density: 5.72 Mg/m³
final energy: -5.803 eV per atom
total moment: 1.07 μB per formula unit

Unit cell a=5.392 b=5.392 c=5.372 alpha=90.00 beta=90.00 gamma=120.00
Element x y z (fractional)
Sr  0.000  0.000  0.000
As  0.667  0.333  0.500
Pb  0.333  0.667  0.500
O  0.395  0.045  0.704
O  0.395  0.349  0.296
O  0.651  0.045  0.296
O  0.651  0.605  0.704
O  0.955  0.349  0.704
O  0.955  0.605  0.296

(11)
The following is a PBE calculation of a relaxed structure of SrAs2PbO8, from Alexandria via LeMat-Bulk.

Results
symmetry: No. 155
mass density: 5.43 Mg/m³
final energy: -5.945 eV per atom
total moment: 0.00 μB per formula unit

Unit cell a=8.486 b=8.486 c=8.486 alpha=34.51 beta=34.51 gamma=34.51
Element x y z (fractional)
Sr  0.000  0.000  0.000
As  0.248  0.248  0.248
As  0.752  0.752  0.752
Pb  0.500  0.500  0.500
O  0.101  0.444  0.776
O  0.224  0.556  0.899
O  0.319  0.319  0.319
O  0.444  0.776  0.101
O  0.556  0.899  0.224
O  0.681  0.681  0.681
O  0.776  0.101  0.444
O  0.899  0.224  0.556

(12)
The following is a PBE calculation of a relaxed structure of SrAs2PbO6, from Alexandria via LeMat-Bulk.

Results
symmetry: No. 148
mass density: 5.10 Mg/m³
final energy: -5.902 eV per atom
total moment: 1.96 μB per formula unit

Unit cell a=6.806 b=6.806 c=6.806 alpha=51.07 beta=51.07 gamma=51.07
Element x y z (fractional)
Sr  0.000  0.000  0.000
As  0.280  0.280  0.280
As  0.720  0.720  0.720
Pb  0.500  0.500  0.500
O  0.031  0.464  0.756
O  0.244  0.969  0.536
O  0.464  0.756  0.031
O  0.536  0.244  0.969
O  0.756  0.031  0.464
O  0.969  0.536  0.244

(13)
The following is a PBE calculation of a relaxed structure of TaAsPb2O, from Alexandria via LeMat-Bulk.

Results
symmetry: No. 123
mass density: 10.56 Mg/m³
final energy: -5.410 eV per atom
total moment: 0.00 μB per formula unit

Unit cell a=5.038 b=5.038 c=4.254 alpha=90.00 beta=90.00 gamma=90.00
Element x y z (fractional)
Ta  0.000  0.000  0.000
As  0.500  0.500  0.000
Pb  0.000  0.500  0.500
Pb  0.500  0.000  0.500
O  0.500  0.500  0.500

(14)
The following is a PBE calculation of a relaxed structure of TaAsPbO6, from Alexandria via LeMat-Bulk.

Results
symmetry: No. 149
mass density: 7.26 Mg/m³
final energy: -7.405 eV per atom
total moment: 0.00 μB per formula unit

Unit cell a=5.215 b=5.215 c=5.430 alpha=90.00 beta=90.00 gamma=120.00
Element x y z (fractional)
Ta  0.000  0.000  0.000
As  0.667  0.333  0.000
Pb  0.333  0.667  0.500
O  0.352  0.062  0.197
O  0.352  0.290  0.803
O  0.710  0.062  0.803
O  0.710  0.648  0.197
O  0.938  0.290  0.197
O  0.938  0.648  0.803

(15)
The following is a PBE calculation of a relaxed structure of TbAsPb2O6, from Alexandria via LeMat-Bulk.

Results
symmetry: No. 166
mass density: 8.06 Mg/m³
final energy: -6.357 eV per atom
total moment: 0.00 μB per formula unit

Unit cell a=11.192 b=11.192 c=11.192 alpha=29.80 beta=29.80 gamma=29.80
Element x y z (fractional)
Tb  0.089  0.089  0.089
Tb  0.911  0.911  0.911
As  0.000  0.000  0.000
As  0.500  0.500  0.500
Pb  0.193  0.193  0.193
Pb  0.350  0.350  0.350
Pb  0.650  0.650  0.650
Pb  0.807  0.807  0.807
O  0.117  0.117  0.662
O  0.117  0.662  0.117
O  0.217  0.690  0.690
O  0.310  0.310  0.783
O  0.310  0.783  0.310
O  0.338  0.883  0.883
O  0.662  0.117  0.117
O  0.690  0.217  0.690
O  0.690  0.690  0.217
O  0.783  0.310  0.310
O  0.883  0.338  0.883
O  0.883  0.883  0.338

(16)
The following is a PBE calculation of a relaxed structure of Tb3AsPbO, from Alexandria via LeMat-Bulk.

Results
symmetry: No. 11
mass density: 8.03 Mg/m³
final energy: -6.185 eV per atom
total moment: 0.00 μB per formula unit

Unit cell a=8.964 b=4.064 c=9.008 alpha=90.00 beta=102.30 gamma=90.00
Element x y z (fractional)
Tb  0.076  0.250  0.340
Tb  0.340  0.250  0.984
Tb  0.383  0.750  0.652
Tb  0.617  0.250  0.348
Tb  0.660  0.750  0.016
Tb  0.924  0.750  0.660
As  0.152  0.250  0.667
As  0.848  0.750  0.333
Pb  0.324  0.750  0.278
Pb  0.676  0.250  0.722
O  0.412  0.750  0.908
O  0.588  0.250  0.092

(17)
The following is a PBE calculation of a relaxed structure of TbAs2PbO8, from Alexandria via LeMat-Bulk.

Results
symmetry: No. 147
mass density: 5.16 Mg/m³
final energy: -6.389 eV per atom
total moment: 1.02 μB per formula unit

Unit cell a=5.699 b=5.699 c=7.374 alpha=90.00 beta=90.00 gamma=120.00
Element x y z (fractional)
Tb  0.000  0.000  0.000
As  0.333  0.667  0.280
As  0.667  0.333  0.720
Pb  0.000  0.000  0.500
O  0.166  0.337  0.206
O  0.171  0.834  0.206
O  0.333  0.667  0.513
O  0.337  0.171  0.794
O  0.663  0.829  0.206
O  0.667  0.333  0.487
O  0.829  0.166  0.794
O  0.834  0.663  0.794

(18)
The following is a PBE calculation of a relaxed structure of Tc2AsPbO8, from Alexandria via LeMat-Bulk.

Results
symmetry: No. 155
mass density: 5.55 Mg/m³
final energy: -6.728 eV per atom
total moment: 2.95 μB per formula unit

Unit cell a=8.437 b=8.437 c=8.437 alpha=35.53 beta=35.53 gamma=35.53
Element x y z (fractional)
Tc  0.249  0.249  0.249
Tc  0.751  0.751  0.751
As  0.500  0.500  0.500
Pb  0.000  0.000  0.000
O  0.119  0.446  0.759
O  0.241  0.554  0.881
O  0.324  0.324  0.324
O  0.446  0.759  0.119
O  0.554  0.881  0.241
O  0.676  0.676  0.676
O  0.759  0.119  0.446
O  0.881  0.241  0.554

(19)
The following is a PBE calculation of a relaxed structure of TcAs2PbO8, from Alexandria via LeMat-Bulk.

Results
symmetry: No. 148
mass density: 5.84 Mg/m³
final energy: -6.438 eV per atom
total moment: 3.00 μB per formula unit

Unit cell a=8.165 b=8.165 c=8.165 alpha=35.70 beta=35.70 gamma=35.70
Element x y z (fractional)
Tc  0.000  0.000  0.000
As  0.258  0.258  0.258
As  0.742  0.742  0.742
Pb  0.500  0.500  0.500
O  0.044  0.381  0.733
O  0.184  0.184  0.184
O  0.267  0.956  0.619
O  0.381  0.733  0.044
O  0.619  0.267  0.956
O  0.733  0.044  0.381
O  0.816  0.816  0.816
O  0.956  0.619  0.267

(20)
The following is a PBE calculation of a relaxed structure of TeAs2PbO8, from Alexandria via LeMat-Bulk.

Results
symmetry: No. 155
mass density: 5.74 Mg/m³
final energy: -5.694 eV per atom
total moment: 0.00 μB per formula unit

Unit cell a=8.550 b=8.550 c=8.550 alpha=34.33 beta=34.33 gamma=34.33
Element x y z (fractional)
Te  0.000  0.000  0.000
As  0.251  0.251  0.251
As  0.749  0.749  0.749
Pb  0.500  0.500  0.500
O  0.047  0.396  0.734
O  0.181  0.181  0.181
O  0.266  0.604  0.953
O  0.396  0.734  0.047
O  0.604  0.953  0.266
O  0.734  0.047  0.396
O  0.819  0.819  0.819
O  0.953  0.266  0.604